1.
The following is a DFT calculation (PBE) of a relaxed La4WCl crystal.

Properties
**Formation energy without anion corrections**: 0.798 eV per atom
**Electronic total energy**: -4.95 eV/atom

a b c (Å): 6.279 6.279 6.279
angles (deg): 60.00 60.00 60.00
Fractional coordinates of all 6 atoms:
La1 0.123 0.123 0.123
La2 0.123 0.123 0.632
La3 0.123 0.632 0.123
La4 0.632 0.123 0.123
W1 0.750 0.750 0.750
Cl1 0.500 0.500 0.500


2.
The following is a DFT calculation (PBE) of a relaxed TbTmPt2 crystal.

Properties
**Electronic total energy**: -6.54 eV/atom
**Polymorph energy (0 for the lowest one)**: 53 meV/atom
**ΔH_f (0 K)**: -1241.1 meV/atom

a b c (Å): 6.963 6.963 6.963
angles (deg): 90.00 90.00 90.00
Fractional coordinates of all 16 atoms:
Tb1 0.000 0.000 0.000
Tb2 0.000 0.500 0.500
Tb3 0.500 0.000 0.500
Tb4 0.500 0.500 0.000
Tm1 0.000 0.000 0.500
Tm2 0.000 0.500 0.000
Tm3 0.500 0.000 0.000
Tm4 0.500 0.500 0.500
Pt1 0.250 0.250 0.250
Pt2 0.250 0.250 0.750
Pt3 0.250 0.750 0.250
Pt4 0.250 0.750 0.750
Pt5 0.750 0.250 0.250
Pt6 0.750 0.250 0.750
Pt7 0.750 0.750 0.250
Pt8 0.750 0.750 0.750


3.
The following is a DFT calculation (PBE) of a relaxed Zr2IrCl crystal.

Properties
**Formation energy without anion corrections**: -0.207 eV per atom
**Electronic total energy**: -7.16 eV/atom
**Polymorph energy (0 for the lowest one)**: 603 meV/atom

a b c (Å): 5.498 5.498 13.436
angles (deg): 90.00 90.00 90.00
Fractional coordinates of all 16 atoms:
Zr1 0.248 0.250 0.125
Zr2 0.250 0.748 0.375
Zr3 0.250 0.752 0.875
Zr4 0.252 0.250 0.625
Zr5 0.748 0.750 0.625
Zr6 0.750 0.248 0.875
Zr7 0.750 0.252 0.375
Zr8 0.752 0.750 0.125
Ir1 0.000 0.000 0.000
Ir2 0.000 0.500 0.250
Ir3 0.500 0.000 0.750
Ir4 0.500 0.500 0.500
Cl1 0.000 0.000 0.500
Cl2 0.000 0.500 0.750
Cl3 0.500 0.000 0.250
Cl4 0.500 0.500 0.000


4.
The following is a DFT calculation (PBE) of a relaxed LaFeB3 crystal.

Properties
**Electronic total energy**: -4.02 eV/atom
**Polymorph energy (0 for the lowest one)**: 2627 meV/atom
**ΔH_f (0 K)**: 2661.2 meV/atom

a b c (Å): 4.611 4.611 4.611
angles (deg): 90.00 90.00 90.00
Fractional coordinates of all 5 atoms:
La1 0.000 0.000 0.000
Fe1 0.500 0.500 0.500
B1 0.000 0.000 0.500
B2 0.000 0.500 0.000
B3 0.500 0.000 0.000


5.
The following is a DFT calculation (PBE) of a relaxed AlInBr2 crystal.

Properties
**Formation energy without anion corrections**: -0.323 eV per atom
**Electronic total energy**: -2.78 eV/atom
**Polymorph energy (0 for the lowest one)**: 156 meV/atom

a b c (Å): 7.805 7.817 3.907
angles (deg): 90.00 90.34 90.00
Fractional coordinates of all 8 atoms:
Al1 0.000 0.000 0.000
Al2 0.500 0.500 0.000
In1 0.000 0.500 0.000
In2 0.500 0.000 0.000
Br1 0.250 0.250 0.500
Br2 0.250 0.750 0.500
Br3 0.750 0.250 0.500
Br4 0.750 0.750 0.500


6.
The following is a DFT calculation (PBE) of a relaxed CsLa2AlPt crystal.

Properties
**Electronic total energy**: -4.31 eV/atom
**ΔH_f (0 K)**: -214.1 meV/atom

a b c (Å): 5.837 5.837 5.030
angles (deg): 90.00 90.00 90.00
Fractional coordinates of all 5 atoms:
Cs1 0.000 0.000 0.000
La1 0.000 0.500 0.500
La2 0.500 0.000 0.500
Al1 0.500 0.500 0.000
Pt1 0.500 0.500 0.500


7.
The following is a DFT calculation (PBE) of a relaxed BeHg2Cl crystal.

Properties
**Formation energy without anion corrections**: -0.055 eV per atom
**Electronic total energy**: -1.60 eV/atom
**Polymorph energy (0 for the lowest one)**: 145 meV/atom

a b c (Å): 4.547 3.484 6.597
angles (deg): 90.00 90.72 90.00
Fractional coordinates of all 4 atoms:
Be1 0.000 0.000 0.000
Hg1 0.003 0.500 0.282
Hg2 0.997 0.500 0.718
Cl1 0.500 0.000 0.000


8.
The following is a DFT calculation (PBE) of a relaxed AcGa2Au3 crystal.

Properties
**Electronic total energy**: -3.88 eV/atom
**Polymorph energy (0 for the lowest one)**: 30 meV/atom
**ΔH_f (0 K)**: -547.8 meV/atom

a b c (Å): 8.681 8.681 7.708
angles (deg): 114.10 114.10 30.68
Fractional coordinates of all 12 atoms:
Ac1 0.155 0.155 0.093
Ac2 0.845 0.845 0.907
Ga1 0.172 0.172 0.643
Ga2 0.483 0.483 0.821
Ga3 0.517 0.517 0.179
Ga4 0.828 0.828 0.357
Au1 0.015 0.015 0.334
Au2 0.316 0.316 0.572
Au3 0.374 0.374 0.249
Au4 0.626 0.626 0.751
Au5 0.684 0.684 0.428
Au6 0.985 0.985 0.666